Entry 1:
Computed, not measured: a geometry-optimized KLa2Ru structure at the PBE level of DFT.

Computed properties:
formation enthalpy at 0 K: -0.15 eV/atom
calculated density: 4.28 g/cm3

Geometry as CIF:
```
data_KLa2Ru
_space_group_name_H-M_alt 'C 1 2/m 1'
_space_group_IT_number 12
_space_group_name_Hall '-C 2y'
_cell_length_a 7.3011
_cell_length_b 4.2115
_cell_length_c 10.8249
_cell_angle_alpha 90.00
_cell_angle_beta 102.81
_cell_angle_gamma 90.00
loop_
_atom_site_label
_atom_site_type_symbol
_atom_site_fract_x
_atom_site_fract_y
_atom_site_fract_z
K1 K 0.0000 0.0000 0.0000
La1 La 0.2128 0.0000 0.6399
Ru1 Ru 0.0000 0.5000 0.5000
```

---

Entry 2:
Computed, not measured: a geometry-optimized KLa4Ru structure at the PBE level of DFT.

Computed properties:
formation enthalpy at 0 K: 0.87 eV/atom
calculated density: 5.86 g/cm3

Geometry as CIF:
```
data_KLa4Ru
_space_group_name_H-M_alt 'F -4 3 m'
_space_group_IT_number 216
_space_group_name_Hall 'F -4 2 3'
_cell_length_a 9.2409
_cell_length_b 9.2409
_cell_length_c 9.2409
_cell_angle_alpha 90.00
_cell_angle_beta 90.00
_cell_angle_gamma 90.00
loop_
_atom_site_label
_atom_site_type_symbol
_atom_site_fract_x
_atom_site_fract_y
_atom_site_fract_z
K1 K 0.0000 0.0000 0.0000
La1 La 0.1206 0.1206 0.6206
Ru1 Ru 0.2500 0.2500 0.2500
```

---

Entry 3:
Computed, not measured: a geometry-optimized K2La2Ru structure at the PBE level of DFT.

Computed properties:
formation enthalpy at 0 K: 0.20 eV/atom
calculated density: 3.66 g/cm3

Geometry as CIF:
```
data_K2La2Ru
_space_group_name_H-M_alt 'P 4/m b m'
_space_group_IT_number 127
_space_group_name_Hall '-P 4 2ab'
_cell_length_a 7.4739
_cell_length_b 7.4739
_cell_length_c 7.4302
_cell_angle_alpha 90.00
_cell_angle_beta 90.00
_cell_angle_gamma 90.00
loop_
_atom_site_label
_atom_site_type_symbol
_atom_site_fract_x
_atom_site_fract_y
_atom_site_fract_z
K1 K 0.1905 0.3095 0.0000
La1 La 0.1978 0.6978 0.5000
Ru1 Ru 0.0000 0.0000 0.5000
```

---

The highest calculated density belongs to which entry?
KLa4Ru